No. 1
Here is an optimized crystal structure of CsK2Rb16 from Alexandria. Energies are from PBE.

The structure in extended XYZ format:
```
19
Lattice="8.004 4.621 8.237 -8.004 4.621 8.237 0.000 -9.243 8.237" Properties=species:S:1:pos:R:3 pbc="T T T"
Cs 0.000 0.000 0.000
K 0.000 0.000 10.114
K 0.000 0.000 19.345
Rb -2.484 -4.952 10.796
Rb -5.530 0.325 10.796
Rb 0.000 -4.504 6.676
Rb -3.901 2.252 6.676
Rb 0.000 0.000 4.875
Rb -3.828 -2.210 14.445
Rb 2.484 -4.952 10.796
Rb -3.047 4.627 10.796
Rb 0.000 -4.489 15.381
Rb -3.887 2.244 15.381
Rb 3.901 2.252 6.676
Rb 3.828 -2.210 14.445
Rb 0.000 4.420 14.445
Rb 5.530 0.325 10.796
Rb 3.047 4.627 10.796
Rb 3.887 2.244 15.381
```

Calculated values
energy relative to the elements = 0.050 eV/atom
DOS at the Fermi energy = 0.946 states/eV per atom
symmetry = R3m (160)
volume = 1828.2 Å³/cell

=====

No. 2
Here is an optimized crystal structure of CsLaBi3 from Alexandria. Energies are from PBE.

The structure in extended XYZ format:
```
5
Lattice="6.294 0.000 0.000 0.000 6.294 0.000 0.000 0.000 6.294" Properties=species:S:1:pos:R:3 pbc="T T T"
Cs 0.000 0.000 0.000
La 3.147 3.147 3.147
Bi 0.000 3.147 3.147
Bi 3.147 0.000 3.147
Bi 3.147 3.147 0.000
```

Calculated values
energy relative to the elements = -0.089 eV/atom
DOS at the Fermi energy = 1.144 states/eV per atom
symmetry = Pm-3m (221)
volume = 249.3 Å³/cell

=====

No. 3
Here is an optimized crystal structure of Ac8SiTe4P3 from Alexandria. Energies are from PBE.

The structure in extended XYZ format:
```
16
Lattice="4.555 2.630 7.728 -4.555 2.630 7.728 0.000 -5.260 7.728" Properties=species:S:1:pos:R:3 pbc="T T T"
Ac 0.000 0.000 5.544
Ac -2.282 -1.318 13.290
Ac 0.000 -2.635 9.893
Ac -2.282 1.318 9.893
Ac 2.282 -1.318 13.290
Ac 0.000 2.635 13.290
Ac 2.282 1.318 9.893
Ac 0.000 0.000 17.639
Si 0.000 0.000 11.592
Te 0.000 0.000 0.000
Te -2.278 -1.315 7.728
Te -2.278 1.315 15.455
Te 0.000 2.630 7.728
P -4.555 0.000 11.591
P -2.278 1.315 3.864
P 2.278 1.315 3.864
```

Calculated values
DOS at the Fermi energy = 0.306 states/eV per atom
symmetry = R-3m (166)
E_form (uncorrected) = -1.4629 eV per atom
volume = 555.4 Å³/cell

=====

No. 4
Here is an optimized crystal structure of AcPPtF from Alexandria. Energies are from PBE.

The structure in extended XYZ format:
```
8
Lattice="4.153 0.000 0.000 0.000 4.153 0.000 0.000 0.000 8.786" Properties=species:S:1:pos:R:3 pbc="T T T"
Ac 1.038 1.038 1.699
Ac 3.115 3.115 7.087
P 1.038 1.038 5.791
P 3.115 3.115 2.995
Pt 1.038 3.115 4.393
Pt 3.115 1.038 4.393
F 1.038 3.115 0.000
F 3.115 1.038 0.000
```

Calculated values
DOS at the Fermi energy = 0.695 states/eV per atom
symmetry = P4/nmm (129)
E_form (uncorrected) = -2.0047 eV per atom
volume = 151.5 Å³/cell

=====

No. 5
Here is an optimized crystal structure of TaI2Br from Alexandria. Energies are from PBE.

The structure in extended XYZ format:
```
4
Lattice="3.688 0.000 0.000 -0.576 7.185 0.000 -0.797 -3.617 6.303" Properties=species:S:1:pos:R:3 pbc="T T T"
Ta 0.000 0.000 0.000
I 0.473 2.576 4.510
I 1.846 -0.942 1.821
Br -0.771 -1.177 6.267
```

Calculated values
DOS at the Fermi energy = 0.183 states/eV per atom
symmetry = P1 (1)
E_form (uncorrected) = -0.2837 eV per atom
volume = 167.0 Å³/cell

=====

No. 6
Here is an optimized crystal structure of BeGe3W from Alexandria. Energies are from PBE.

The structure in extended XYZ format:
```
5
Lattice="4.908 0.000 0.000 0.000 4.908 0.000 0.000 0.000 4.908" Properties=species:S:1:pos:R:3 pbc="T T T"
Be 0.000 0.000 0.000
Ge 0.000 2.454 2.454
Ge 2.454 0.000 2.454
Ge 2.454 2.454 0.000
W 2.454 2.454 2.454
```

Calculated values
energy relative to the elements = 0.892 eV/atom
DOS at the Fermi energy = 0.145 states/eV per atom
symmetry = Pm-3m (221)
volume = 118.2 Å³/cell

=====

No. 7
Here is an optimized crystal structure of P3PtW from Alexandria. Energies are from PBE.

The structure in extended XYZ format:
```
5
Lattice="4.638 0.000 0.000 0.000 4.638 0.000 0.000 0.000 4.638" Properties=species:S:1:pos:R:3 pbc="T T T"
P 0.000 0.000 2.319
P 0.000 2.319 0.000
P 2.319 0.000 0.000
Pt 2.319 2.319 2.319
W 0.000 0.000 0.000
```

Calculated values
energy relative to the elements = 0.810 eV/atom
DOS at the Fermi energy = 0.457 states/eV per atom
symmetry = Pm-3m (221)
volume = 99.8 Å³/cell

=====

No. 8
Here is an optimized crystal structure of BaZrOs2 from Alexandria. Energies are from PBE.

The structure in extended XYZ format:
```
4
Lattice="3.270 0.000 0.000 0.000 4.837 0.000 0.000 0.000 5.051" Properties=species:S:1:pos:R:3 pbc="T T T"
Ba 0.000 0.000 0.000
Zr 1.635 0.000 2.526
Os 0.000 2.418 2.526
Os 1.635 2.418 0.000
```

Calculated values
energy relative to the elements = 1.088 eV/atom
DOS at the Fermi energy = 1.046 states/eV per atom
symmetry = Pmmm (47)
volume = 79.9 Å³/cell

=====

No. 9
Here is an optimized crystal structure of LaIr from Alexandria. Energies are from PBE.

The structure in extended XYZ format:
```
16
Lattice="9.479 0.000 0.000 0.000 9.479 0.000 0.000 0.000 4.463" Properties=species:S:1:pos:R:3 pbc="T T T"
La 0.000 2.563 0.000
La 0.000 6.916 0.000
La 2.177 4.739 2.232
La 2.563 0.000 0.000
La 4.739 2.177 2.232
La 4.739 7.302 2.232
La 6.916 0.000 0.000
La 7.302 4.739 2.232
Ir 1.496 1.496 2.232
Ir 1.496 7.983 2.232
Ir 3.244 3.244 0.000
Ir 3.244 6.235 0.000
Ir 6.235 3.244 0.000
Ir 6.235 6.235 0.000
Ir 7.983 1.496 2.232
Ir 7.983 7.983 2.232
```

Calculated values
energy relative to the elements = -0.366 eV/atom
DOS at the Fermi energy = 0.913 states/eV per atom
symmetry = I4/mmm (139)
volume = 401.0 Å³/cell

=====

No. 10
Here is an optimized crystal structure of Sm3Ho2ErSe6 from Alexandria. Energies are from PBE.

The structure in extended XYZ format:
```
12
Lattice="3.526 -6.146 0.000 3.526 6.146 0.000 -2.367 0.000 6.801" Properties=species:S:1:pos:R:3 pbc="T T T"
Sm 0.000 0.000 0.000
Sm 3.526 2.060 0.000
Sm 3.526 -2.060 0.000
Ho 2.343 4.096 3.401
Ho 2.343 -4.096 3.401
Er 2.343 0.000 3.401
Se 1.177 2.040 1.782
Se -0.004 0.000 5.025
Se 1.177 -2.040 1.782
Se 3.510 2.040 5.019
Se 4.690 0.000 1.776
Se 3.510 -2.040 5.019
```

Calculated values
DOS at the Fermi energy = 0.475 states/eV per atom
symmetry = C2/m (12)
E_form (uncorrected) = -1.7702 eV per atom
volume = 294.8 Å³/cell

=====

No. 11
Here is an optimized crystal structure of KLaCu2 from Alexandria. Energies are from PBE.

The structure in extended XYZ format:
```
4
Lattice="4.031 0.000 0.000 0.000 4.262 0.000 -2.008 0.000 7.246" Properties=species:S:1:pos:R:3 pbc="T T T"
K 0.000 0.000 0.000
La 2.028 2.131 3.385
Cu 0.014 0.000 4.262
Cu 0.009 2.131 5.506
```

Calculated values
energy relative to the elements = 0.173 eV/atom
DOS at the Fermi energy = 0.773 states/eV per atom
symmetry = Pm (6)
volume = 124.5 Å³/cell

=====

No. 12
Here is an optimized crystal structure of ScReMo from Alexandria. Energies are from PBE.

The structure in extended XYZ format:
```
3
Lattice="4.505 0.000 0.000 -2.253 3.902 0.000 0.000 0.000 2.840" Properties=species:S:1:pos:R:3 pbc="T T T"
Sc 0.000 0.000 0.000
Re 0.000 2.601 1.764
Mo 2.253 1.301 1.016
```

Calculated values
energy relative to the elements = -0.041 eV/atom
DOS at the Fermi energy = 0.703 states/eV per atom
symmetry = P3m1 (156)
volume = 49.9 Å³/cell

=====

Computed E_tot, in the same sequence as the records: -17.57, -17.87, -90.49, -50.90, -17.76, -26.07, -31.17, -28.58, -116.16, -70.03, -13.52, -29.73 eV per cell.